Model P:
A relaxed HfUTl crystal, computed with PBE.

Output
The value obtained for the calculated volume is 91 Å³/f.u. The value obtained for the theoretical density is 11.3 Mg/m³.

a = 5.047 Å, b = 5.047 Å, c = 5.047 Å
α = 60.00°, β = 60.00°, γ = 60.00°
Positions (direct):
1 Hf 0.250 0.250 0.250
2 U 0.000 0.000 0.000
3 Tl 0.750 0.750 0.750

=====

Model Q:
A relaxed HfUTl crystal, computed with PBE.

Output
The value obtained for the calculated volume is 87 Å³/f.u. The value obtained for the theoretical density is 11.8 Mg/m³.

a = 4.976 Å, b = 4.976 Å, c = 4.976 Å
α = 60.00°, β = 60.00°, γ = 60.00°
Positions (direct):
1 Hf 0.250 0.250 0.250
2 U 0.750 0.750 0.750
3 Tl 0.000 0.000 0.000

=====

Ranking the structures above from most stable to least stable yields model Q, model P.